6
Lattice="0.0000 3.9277 3.9277 3.9277 0.0000 3.9277 3.9277 3.9277 0.0000" Properties=species:S:1:pos:R:3 comment="P4RuBr, relaxed, DFT PBE" raw_formation_energy_kcal_per_mol_atoms=19.9 pbc="T T T"
P 5.0994 2.7561 5.0994
Br 0.0000 0.0000 0.0000
P 2.7561 2.7561 2.7561
Ru 5.8916 5.8916 5.8916
P 2.7561 5.0994 5.0994
P 5.0994 5.0994 2.7561